<one>
Density functional theory data (GGA-PBE) for Tm4MgCo after structural relaxation.

Values from the calculation:
The space group is F-43m.

a b c (Å): 9.448 9.448 9.448
angles (deg): 60.00 60.00 60.00
Element x y z (fractional)
Tm (0.344, 0.344, 0.344)
Tm (0.344, 0.344, 0.968)
Tm (0.344, 0.968, 0.344)
Tm (0.968, 0.344, 0.344)
Tm (0.813, 0.187, 0.187)
Tm (0.187, 0.813, 0.813)
Tm (0.187, 0.813, 0.187)
Tm (0.813, 0.187, 0.813)
Tm (0.187, 0.187, 0.813)
Tm (0.813, 0.813, 0.187)
Tm (0.937, 0.563, 0.563)
Tm (0.563, 0.937, 0.937)
Tm (0.563, 0.937, 0.563)
Tm (0.937, 0.563, 0.937)
Tm (0.563, 0.563, 0.937)
Tm (0.937, 0.937, 0.563)
Mg (0.579, 0.579, 0.579)
Mg (0.579, 0.579, 0.262)
Mg (0.579, 0.262, 0.579)
Mg (0.262, 0.579, 0.579)
Co (0.140, 0.140, 0.140)
Co (0.140, 0.140, 0.579)
Co (0.140, 0.579, 0.140)
Co (0.579, 0.140, 0.140)

<two>
Density functional theory data (GGA-PBE) for Tm4MgCo after structural relaxation.

Values from the calculation:
The space group is C2/c.

a b c (Å): 5.899 9.069 7.654
angles (deg): 116.88 99.77 111.35
Element x y z (fractional)
Tm (0.393, 0.941, 0.671)
Tm (0.928, 0.809, 0.170)
Tm (0.222, 0.269, 0.329)
Tm (0.258, 0.640, 0.830)
Tm (0.607, 0.059, 0.329)
Tm (0.778, 0.731, 0.671)
Tm (0.072, 0.191, 0.830)
Tm (0.742, 0.360, 0.170)
Mg (0.371, 0.621, 0.242)
Mg (0.629, 0.379, 0.758)
Co (0.751, 0.001, 0.002)
Co (0.249, 0.999, 0.998)

<one> takes first place; second place is 60 meV/atom up.